(1)
## CdGa2Pd8 (PBE-GGA)

Data for an optimized crystal structure of CdGa2Pd8.

Spin magnetization = 0.00 μB per formula unit
ΔH_f (0 K) = -410 meV per atom
Calculated volume = 175.69 Å³ per cell
Fermi-level density of states = 5.48 states/eV/f.u.
Excess energy over the best structure of this formula in the dataset = 18.2 meV/atom
Space-group type = Immm, No. 71

a = 4.111 Å, b = 6.962 Å, c = 7.350 Å
α = 118.27°, β = 106.24°, γ = 90.00°
Positions (direct):
Pd (0.663, 0.882, 0.327)
Pd (0.337, 0.556, 0.673)
Pd (0.152, 0.152, 0.303)
Pd (0.000, 0.304, 0.000)
Pd (0.848, 0.848, 0.697)
Pd (0.663, 0.444, 0.327)
Pd (0.337, 0.118, 0.673)
Pd (0.000, 0.696, 0.000)
Ga (0.189, 0.689, 0.379)
Ga (0.811, 0.311, 0.621)
Cd (0.500, 0.000, 0.000)



(2)
## CdGa2Pd (PBE-GGA)

Data for an optimized crystal structure of CdGa2Pd.

Spin magnetization = 0.00 μB per formula unit
ΔH_f (0 K) = -144 meV per atom
Calculated volume = 153.45 Å³ per cell
Fermi-level density of states = 1.98 states/eV/f.u.
Space-group type = I-42d, No. 122

a = 4.109 Å, b = 4.109 Å, c = 9.543 Å
α = 77.57°, β = 77.57°, γ = 90.00°
Positions (direct):
Ga (0.593, 0.125, 0.250)
Ga (0.157, 0.625, 0.250)
Ga (0.375, 0.407, 0.750)
Ga (0.875, 0.843, 0.750)
Pd (0.500, 0.500, 0.000)
Pd (0.250, 0.750, 0.500)
Cd (0.000, 0.000, 0.000)
Cd (0.750, 0.250, 0.500)



(3)
## Cd2GaPd2 (PBE-GGA)

Data for an optimized crystal structure of Cd2GaPd2.

Spin magnetization = 0.00 μB per formula unit
ΔH_f (0 K) = -42 meV per atom
Calculated volume = 99.03 Å³ per cell
Fermi-level density of states = 1.26 states/eV/f.u.
Excess energy over the best structure of this formula in the dataset = 352.0 meV/atom
Space-group type = I4/mmm, No. 139

a = 3.825 Å, b = 3.825 Å, c = 7.289 Å
α = 74.79°, β = 74.79°, γ = 90.00°
Positions (direct):
Ga (0.000, 0.000, 0.000)
Pd (0.404, 0.404, 0.191)
Pd (0.596, 0.596, 0.809)
Cd (0.750, 0.250, 0.500)
Cd (0.250, 0.750, 0.500)



(4)
## CdGaPd3 (PBE-GGA)

Data for an optimized crystal structure of CdGaPd3.

Spin magnetization = 0.00 μB per formula unit
ΔH_f (0 K) = -420 meV per atom
Calculated volume = 162.48 Å³ per cell
Fermi-level density of states = 2.20 states/eV/f.u.
Excess energy over the best structure of this formula in the dataset = 0.0 meV/atom
Space-group type = P1, No. 1

a = 5.546 Å, b = 5.587 Å, c = 6.673 Å
α = 67.92°, β = 77.69°, γ = 58.00°
Positions (direct):
Cd (0.704, 0.546, 0.390)
Cd (0.428, 0.775, 0.963)
Ga (0.121, 0.934, 0.592)
Ga (0.758, 0.141, 0.151)
Pd (0.239, 0.160, 0.210)
Pd (0.448, 0.372, 0.795)
Pd (0.920, 0.770, 0.958)
Pd (0.974, 0.337, 0.786)
Pd (0.172, 0.614, 0.371)
Pd (0.619, 0.999, 0.545)